(1)
A plane-wave DFT calculation with PBE-GGA was carried out for a relaxed BRh crystal.

Properties
Crystal system = tetragonal
DOS(E_F) = 0.74 states/eV per cell
Energy of formation = -0.1523 eV per atom
Symmetry = No. 107

Unit cell a=2.8714 b=2.8714 c=5.5021 alpha=90.00 beta=90.00 gamma=90.00
Element x y z (fractional)
B1 0.0000 0.0000 0.7487
B2 0.5000 0.5000 0.2487
Rh1 0.0000 0.0000 0.1175
Rh2 0.5000 0.5000 0.6175

(2)
A plane-wave DFT calculation with PBE-GGA was carried out for a relaxed Ca2YLu crystal.

Properties
Crystal system = tetragonal
ΔE to the lowest computed polymorph = 0.051 eV/atom
DOS(E_F) = 6.97 states/eV per cell
Energy of formation = 0.2054 eV per atom
Symmetry = No. 123

Unit cell a=4.1002 b=4.1002 c=8.3010 alpha=90.00 beta=90.00 gamma=90.00
Element x y z (fractional)
Y1 0.5000 0.5000 0.5000
Ca1 0.0000 0.0000 0.7547
Ca2 0.0000 0.0000 0.2453
Lu1 0.5000 0.5000 0.0000

What did the first record say?
A plane-wave DFT calculation with PBE-GGA was carried out for a relaxed BRh crystal.

Properties
Crystal system = tetragonal
DOS(E_F) = 0.74 states/eV per cell
Energy of formation = -0.1523 eV per atom
Symmetry = No. 107

Unit cell a=2.8714 b=2.8714 c=5.5021 alpha=90.00 beta=90.00 gamma=90.00
Element x y z (fractional)
B1 0.0000 0.0000 0.7487
B2 0.5000 0.5000 0.2487
Rh1 0.0000 0.0000 0.1175
Rh2 0.5000 0.5000 0.6175